Record 1
Entry from Alexandria via LeMat-Bulk: a relaxed structure of K14In2O9 (PBE-GGA).

The calculation puts the calculated total energy at -3.731 eV/atom. As for the formation energy without anion corrections: -1.112 eV/atom.

a b c (Å): 7.8187 7.8187 10.8614
angles (deg): 90.00 90.00 120.00
Last column: nearest neighbours and their distance in Å.
Element x y z (fractional)
K  0.0000  0.0000  0.2486  4 O 2.70-2.88
K  0.0000  0.0000  0.7514  4 O 2.70-2.88
K  0.0292  0.6702  0.9067  4 O 2.75-3.00
K  0.0797  0.3874  0.5946  4 O 2.74-2.93
K  0.3077  0.9203  0.5946  4 O 2.74-2.93
K  0.3298  0.3591  0.9067  4 O 2.75-3.00
K  0.3591  0.0292  0.0933  4 O 2.75-3.00
K  0.3874  0.3077  0.4054  4 O 2.74-2.93
K  0.6126  0.6923  0.5946  4 O 2.74-2.93
K  0.6409  0.9708  0.9067  4 O 2.75-3.00
K  0.6702  0.6409  0.0933  4 O 2.75-3.00
K  0.6923  0.0797  0.4054  4 O 2.74-2.93
K  0.9203  0.6126  0.4054  4 O 2.74-2.93
K  0.9708  0.3298  0.0933  4 O 2.75-3.00
In  0.3333  0.6667  0.2721  4 O 2.16-2.18
In  0.6667  0.3333  0.7279  4 O 2.16-2.18
O  0.0000  0.0000  0.0000  8 K 2.70-2.88
O  0.0948  0.3841  0.3383  1 In 2.18
O  0.2893  0.9052  0.3383  1 In 2.18
O  0.3333  0.6667  0.0730  1 In 2.16
O  0.3841  0.2893  0.6617  1 In 2.18
O  0.6159  0.7107  0.3383  1 In 2.18
O  0.6667  0.3333  0.9270  1 In 2.16
O  0.7107  0.0948  0.6617  1 In 2.18
O  0.9052  0.6159  0.6617  1 In 2.18

***

Record 2
Entry from Alexandria via LeMat-Bulk: a relaxed structure of NaPmTlSi (PBE-GGA).

The calculation puts the calculated total energy at -3.585 eV/atom. As for the formation energy without anion corrections: -0.121 eV/atom.

a b c (Å): 5.2094 5.2094 5.2094
angles (deg): 60.00 60.00 60.00
Last column: nearest neighbours and their distance in Å.
Element x y z (fractional)
Na  0.0000  0.0000  0.0000  4 Tl 3.19, 4 Si 3.19
Pm  0.5000  0.5000  0.5000  4 Si 3.19, 4 Tl 3.19
Tl  0.2500  0.2500  0.2500  4 Pm 3.19, 4 Na 3.19
Si  0.7500  0.7500  0.7500  4 Pm 3.19, 4 Na 3.19

***

Record 3
Entry from Alexandria via LeMat-Bulk: a relaxed structure of ErFe22B6 (PBE-GGA).

The calculation puts the calculated total energy at -8.111 eV/atom. The calculation puts the formation enthalpy at 0 K at -0.15 eV per atom.

a b c (Å): 7.5570 7.5570 7.5570
angles (deg): 60.00 60.00 60.00
Last column: nearest neighbours and their distance in Å.
Element x y z (fractional)
Er  0.0000  0.0000  0.0000  12 Fe 2.65, 6 B 2.92
Fe  0.0000  0.0000  0.3508  2 B 2.14, 1 Fe 2.26
Fe  0.0000  0.0000  0.6492  2 B 2.14, 1 Fe 2.26
Fe  0.0000  0.3508  0.0000  2 B 2.14, 1 Fe 2.26
Fe  0.0000  0.3508  0.6492  2 B 2.14, 1 Fe 2.26
Fe  0.0000  0.6492  0.0000  2 B 2.14, 1 Fe 2.26
Fe  0.0000  0.6492  0.3508  2 B 2.14, 1 Fe 2.26
Fe  0.1456  0.6182  0.6182  3 B 2.13
Fe  0.2500  0.2500  0.2500  4 Fe 2.44
Fe  0.3508  0.0000  0.0000  2 B 2.14, 1 Fe 2.26
Fe  0.3508  0.0000  0.6492  2 B 2.14, 1 Fe 2.26
Fe  0.3508  0.6492  0.0000  2 B 2.14, 1 Fe 2.26
Fe  0.3818  0.3818  0.3818  3 B 2.13
Fe  0.3818  0.3818  0.8544  3 B 2.13
Fe  0.3818  0.8544  0.3818  3 B 2.13
Fe  0.6182  0.1456  0.6182  3 B 2.13
Fe  0.6182  0.6182  0.1456  3 B 2.13
Fe  0.6182  0.6182  0.6182  3 B 2.13
Fe  0.6492  0.0000  0.0000  2 B 2.14, 1 Fe 2.26
Fe  0.6492  0.0000  0.3508  2 B 2.14, 1 Fe 2.26
Fe  0.6492  0.3508  0.0000  2 B 2.14, 1 Fe 2.26
Fe  0.7500  0.7500  0.7500  4 Fe 2.44
Fe  0.8544  0.3818  0.3818  3 B 2.13
B  0.2728  0.2728  0.7272  8 Fe 2.13-2.14
B  0.2728  0.7272  0.2728  8 Fe 2.13-2.14
B  0.2728  0.7272  0.7272  8 Fe 2.13-2.14
B  0.7272  0.2728  0.2728  8 Fe 2.13-2.14
B  0.7272  0.2728  0.7272  8 Fe 2.13-2.14
B  0.7272  0.7272  0.2728  8 Fe 2.13-2.14

***

Record 4
Entry from Alexandria via LeMat-Bulk: a relaxed structure of Hf4SnTe2 (PBE-GGA).

The calculation puts the calculated total energy at -7.494 eV/atom. As for the formation energy without anion corrections: -0.337 eV/atom.

a b c (Å): 9.0278 7.6509 7.6413
angles (deg): 72.36 53.87 53.77
Last column: nearest neighbours and their distance in Å.
Element x y z (fractional)
Hf  0.1214  0.6169  0.7667  2 Te 2.84-3.01, 2 Sn 2.95-3.17, 1 Hf 3.17
Hf  0.1328  0.2547  0.6284  3 Te 2.84-3.17, 2 Sn 2.95-3.17, 1 Hf 3.17
Hf  0.2547  0.1328  0.9841  3 Te 2.84-3.17, 2 Sn 2.95-3.17, 1 Hf 3.17
Hf  0.4951  0.7667  0.6169  2 Te 2.84-3.01, 2 Sn 2.95-3.17, 1 Hf 3.17
Hf  0.6169  0.1214  0.4951  2 Te 2.84-3.01, 2 Sn 2.95-3.17, 1 Hf 3.17
Hf  0.6284  0.9841  0.1328  3 Te 2.84-3.17, 2 Sn 2.95-3.17, 1 Hf 3.17
Hf  0.7667  0.4951  0.1214  2 Te 2.84-3.01, 2 Sn 2.95-3.17, 1 Hf 3.17
Hf  0.9841  0.6284  0.2547  3 Te 2.84-3.17, 2 Sn 2.95-3.17, 1 Hf 3.17
Sn  0.0000  0.0000  0.0000  8 Hf 2.95-3.17
Sn  0.7500  0.7500  0.7500  8 Hf 2.95-3.17
Te  0.3089  0.8749  0.3739  5 Hf 2.84-3.17, 2 Te 3.15
Te  0.3739  0.4423  0.3089  5 Hf 2.84-3.17, 2 Te 3.15
Te  0.4423  0.3739  0.8749  5 Hf 2.84-3.17, 2 Te 3.15
Te  0.8749  0.3089  0.4423  5 Hf 2.84-3.17, 2 Te 3.15

***

| no. | spin magnetization (μB per cell) |
| --- | --- |
| 1 | 0.0 |
| 2 | 0.0 |
| 3 | 44.2 |
| 4 | 0.0 |